Entry 1:
# NiTeSe2 (PBE-GGA, optimized geometry)
# **Formation energy without anion corrections**: -119 meV/atom
# **D(E_F)**: 1.57 states/eV/cell
data_NiTeSe2
_chemical_formula_sum 'Ni2 Te2 Se4'
_cell_length_a 5.500
_cell_length_b 6.622
_cell_length_c 6.536
_cell_angle_alpha 70.78
_cell_angle_beta 78.66
_cell_angle_gamma 115.53
_symmetry_space_group_name_H-M 'P 1'
_symmetry_Int_Tables_number 1
_symmetry_space_group_name_Hall 'P 1'
loop_
_atom_site_label
_atom_site_fract_x
_atom_site_fract_y
_atom_site_fract_z
Te1 0.045 0.912 0.381
Te2 0.120 0.450 0.010
Se1 0.400 0.255 0.703
Se2 0.738 0.590 0.053
Se3 0.427 0.773 0.338
Se4 0.766 0.107 0.688
Ni1 0.910 0.013 0.018
Ni2 0.256 0.350 0.373



Entry 2:
# NiTeSe2 (PBE-GGA, optimized geometry)
# **Formation energy without anion corrections**: -126 meV/atom
# **D(E_F)**: 0.00 states/eV/cell
data_NiTeSe2
_chemical_formula_sum 'Ni2 Te2 Se4'
_cell_length_a 5.180
_cell_length_b 7.096
_cell_length_c 6.075
_cell_angle_alpha 90.01
_cell_angle_beta 90.02
_cell_angle_gamma 68.05
_symmetry_space_group_name_H-M 'P 1'
_symmetry_Int_Tables_number 1
_symmetry_space_group_name_Hall 'P 1'
loop_
_atom_site_label
_atom_site_fract_x
_atom_site_fract_y
_atom_site_fract_z
Ni1 0.486 0.479 0.576
Ni2 0.970 0.797 0.076
Se1 0.912 0.224 0.473
Se2 0.544 0.052 0.973
Se3 0.393 0.622 0.228
Se4 0.063 0.654 0.728
Te1 0.724 0.349 0.925
Te2 0.732 0.927 0.425



Entry 3:
# Ni2TeSe (PBE-GGA, optimized geometry)
# **Formation energy without anion corrections**: -166 meV/atom
# **D(E_F)**: 2.65 states/eV/cell
data_Ni2TeSe
_chemical_formula_sum 'Ni2 Te1 Se1'
_cell_length_a 4.489
_cell_length_b 4.175
_cell_length_c 4.172
_cell_angle_alpha 70.18
_cell_angle_beta 90.00
_cell_angle_gamma 90.00
_symmetry_space_group_name_H-M 'P 1'
_symmetry_Int_Tables_number 1
_symmetry_space_group_name_Hall 'P 1'
loop_
_atom_site_label
_atom_site_fract_x
_atom_site_fract_y
_atom_site_fract_z
Ni1 0.000 0.031 0.031
Ni2 0.500 0.230 0.230
Se1 0.000 0.381 0.381
Te1 0.500 0.858 0.859



Entry 4:
# NiTeSe2 (PBE-GGA, optimized geometry)
# **Formation energy without anion corrections**: 525 meV/atom
# **D(E_F)**: 3.41 states/eV/cell
data_NiTeSe2
_chemical_formula_sum 'Ni1 Te1 Se2'
_cell_length_a 3.395
_cell_length_b 4.842
_cell_length_c 4.842
_cell_angle_alpha 90.00
_cell_angle_beta 90.00
_cell_angle_gamma 90.00
_symmetry_space_group_name_H-M 'P 1'
_symmetry_Int_Tables_number 1
_symmetry_space_group_name_Hall 'P 1'
loop_
_atom_site_label
_atom_site_fract_x
_atom_site_fract_y
_atom_site_fract_z
Se1 0.000 0.500 0.500
Se2 0.000 0.000 0.000
Te1 0.500 0.500 0.000
Ni1 0.500 0.000 0.500



Entry 5:
# NiTeSe2 (PBE-GGA, optimized geometry)
# **Formation energy without anion corrections**: 553 meV/atom
# **D(E_F)**: 3.01 states/eV/cell
data_NiTeSe2
_chemical_formula_sum 'Ni1 Te1 Se2'
_cell_length_a 4.785
_cell_length_b 4.785
_cell_length_c 4.785
_cell_angle_alpha 60.00
_cell_angle_beta 60.00
_cell_angle_gamma 60.00
_symmetry_space_group_name_H-M 'P 1'
_symmetry_Int_Tables_number 1
_symmetry_space_group_name_Hall 'P 1'
loop_
_atom_site_label
_atom_site_fract_x
_atom_site_fract_y
_atom_site_fract_z
Ni1 0.500 0.500 0.500
Se1 0.750 0.750 0.750
Se2 0.000 0.000 0.000
Te1 0.250 0.250 0.250



Entry 6:
# NiTeSe2 (PBE-GGA, optimized geometry)
# **Formation energy without anion corrections**: 338 meV/atom
# **D(E_F)**: 4.06 states/eV/cell
data_NiTeSe2
_chemical_formula_sum 'Ni1 Te1 Se2'
_cell_length_a 3.622
_cell_length_b 3.712
_cell_length_c 8.409
_cell_angle_alpha 90.00
_cell_angle_beta 90.00
_cell_angle_gamma 90.00
_symmetry_space_group_name_H-M 'P 1'
_symmetry_Int_Tables_number 1
_symmetry_space_group_name_Hall 'P 1'
loop_
_atom_site_label
_atom_site_fract_x
_atom_site_fract_y
_atom_site_fract_z
Se1 0.000 0.000 0.000
Se2 0.500 0.500 0.000
Ni1 0.000 0.500 0.500
Te1 0.500 0.000 0.500



Entry 7:
# Ni2Te3Se (PBE-GGA, optimized geometry)
# **Formation energy without anion corrections**: -224 meV/atom
# **D(E_F)**: 6.71 states/eV/cell
data_Ni2Te3Se
_chemical_formula_sum 'Ni4 Te6 Se2'
_cell_length_a 3.809
_cell_length_b 6.534
_cell_length_c 11.317
_cell_angle_alpha 91.65
_cell_angle_beta 80.31
_cell_angle_gamma 73.05
_symmetry_space_group_name_H-M 'P 1'
_symmetry_Int_Tables_number 1
_symmetry_space_group_name_Hall 'P 1'
loop_
_atom_site_label
_atom_site_fract_x
_atom_site_fract_y
_atom_site_fract_z
Te1 0.880 0.014 0.226
Te2 0.624 0.229 0.524
Te3 0.376 0.771 0.476
Te4 0.120 0.986 0.774
Te5 0.374 0.276 0.976
Te6 0.626 0.724 0.024
Se1 0.140 0.453 0.268
Se2 0.860 0.547 0.732
Ni1 0.251 0.628 0.869
Ni2 0.749 0.372 0.131
Ni3 0.750 0.873 0.627
Ni4 0.250 0.127 0.373



Entry 8:
# NiTeSe2 (PBE-GGA, optimized geometry)
# **Formation energy without anion corrections**: -107 meV/atom
# **D(E_F)**: 5.98 states/eV/cell
data_NiTeSe2
_chemical_formula_sum 'Ni2 Te2 Se4'
_cell_length_a 6.442
_cell_length_b 6.694
_cell_length_c 6.110
_cell_angle_alpha 59.61
_cell_angle_beta 116.82
_cell_angle_gamma 123.87
_symmetry_space_group_name_H-M 'P 1'
_symmetry_Int_Tables_number 1
_symmetry_space_group_name_Hall 'P 1'
loop_
_atom_site_label
_atom_site_fract_x
_atom_site_fract_y
_atom_site_fract_z
Te1 0.537 0.794 0.282
Te2 0.132 0.127 0.243
Ni1 0.774 0.760 0.064
Ni2 0.774 0.283 0.063
Se1 0.645 0.113 0.728
Se2 0.003 0.737 0.865
Se3 0.919 0.432 0.417
Se4 0.428 0.416 0.900



Entry 9:
# NiTe2Se (PBE-GGA, optimized geometry)
# **Formation energy without anion corrections**: 140 meV/atom
# **D(E_F)**: 2.54 states/eV/cell
data_NiTe2Se
_chemical_formula_sum 'Ni1 Te2 Se1'
_cell_length_a 4.953
_cell_length_b 4.953
_cell_length_c 4.947
_cell_angle_alpha 68.28
_cell_angle_beta 68.28
_cell_angle_gamma 104.98
_symmetry_space_group_name_H-M 'P 1'
_symmetry_Int_Tables_number 1
_symmetry_space_group_name_Hall 'P 1'
loop_
_atom_site_label
_atom_site_fract_x
_atom_site_fract_y
_atom_site_fract_z
Te1 0.000 0.000 0.000
Te2 0.500 0.500 0.000
Ni1 0.500 0.000 0.500
Se1 0.000 0.500 0.500



Entry 10:
# Ni2TeSe (PBE-GGA, optimized geometry)
# **Formation energy without anion corrections**: 169 meV/atom
# **D(E_F)**: 3.29 states/eV/cell
data_Ni2TeSe
_chemical_formula_sum 'Ni2 Te1 Se1'
_cell_length_a 4.562
_cell_length_b 4.574
_cell_length_c 4.585
_cell_angle_alpha 66.80
_cell_angle_beta 77.58
_cell_angle_gamma 113.01
_symmetry_space_group_name_H-M 'P 1'
_symmetry_Int_Tables_number 1
_symmetry_space_group_name_Hall 'P 1'
loop_
_atom_site_label
_atom_site_fract_x
_atom_site_fract_y
_atom_site_fract_z
Te1 0.500 0.500 0.000
Se1 0.000 0.500 0.500
Ni1 0.500 0.000 0.500
Ni2 0.000 0.000 0.000



Entry 11:
# NiTeSe2 (PBE-GGA, optimized geometry)
# **Formation energy without anion corrections**: 120 meV/atom
# **D(E_F)**: 2.20 states/eV/cell
data_NiTeSe2
_chemical_formula_sum 'Ni1 Te1 Se2'
_cell_length_a 4.775
_cell_length_b 4.775
_cell_length_c 4.767
_cell_angle_alpha 72.03
_cell_angle_beta 72.03
_cell_angle_gamma 112.54
_symmetry_space_group_name_H-M 'P 1'
_symmetry_Int_Tables_number 1
_symmetry_space_group_name_Hall 'P 1'
loop_
_atom_site_label
_atom_site_fract_x
_atom_site_fract_y
_atom_site_fract_z
Se1 0.500 0.500 0.000
Se2 0.000 0.000 0.000
Ni1 0.000 0.500 0.500
Te1 0.500 0.000 0.500



Entry 12:
# NiTe4Se (PBE-GGA, optimized geometry)
# **Formation energy without anion corrections**: 903 meV/atom
# **D(E_F)**: 13.26 states/eV/cell
data_NiTe4Se
_chemical_formula_sum 'Ni1 Te4 Se1'
_cell_length_a 6.195
_cell_length_b 6.195
_cell_length_c 6.195
_cell_angle_alpha 60.00
_cell_angle_beta 60.00
_cell_angle_gamma 60.00
_symmetry_space_group_name_H-M 'P 1'
_symmetry_Int_Tables_number 1
_symmetry_space_group_name_Hall 'P 1'
loop_
_atom_site_label
_atom_site_fract_x
_atom_site_fract_y
_atom_site_fract_z
Ni1 0.750 0.750 0.750
Te1 0.374 0.374 0.374
Te2 0.878 0.374 0.374
Te3 0.374 0.374 0.878
Te4 0.374 0.878 0.374
Se1 0.000 0.000 0.000



Entry 13:
# Ni2TeSe (PBE-GGA, optimized geometry)
# **Formation energy without anion corrections**: -152 meV/atom
# **D(E_F)**: 1.60 states/eV/cell
data_Ni2TeSe
_chemical_formula_sum 'Ni2 Te1 Se1'
_cell_length_a 3.293
_cell_length_b 3.293
_cell_length_c 6.922
_cell_angle_alpha 90.00
_cell_angle_beta 90.00
_cell_angle_gamma 89.99
_symmetry_space_group_name_H-M 'P 1'
_symmetry_Int_Tables_number 1
_symmetry_space_group_name_Hall 'P 1'
loop_
_atom_site_label
_atom_site_fract_x
_atom_site_fract_y
_atom_site_fract_z
Se1 0.000 0.000 0.372
Te1 0.500 0.500 0.858
Ni1 0.000 0.000 0.036
Ni2 0.500 0.500 0.234



Entry 14:
# NiTeSe2 (PBE-GGA, optimized geometry)
# **Formation energy without anion corrections**: -42 meV/atom
# **D(E_F)**: 8.86 states/eV/cell
data_NiTeSe2
_chemical_formula_sum 'Ni2 Te2 Se4'
_cell_length_a 7.978
_cell_length_b 7.392
_cell_length_c 7.392
_cell_angle_alpha 52.21
_cell_angle_beta 109.79
_cell_angle_gamma 70.21
_symmetry_space_group_name_H-M 'P 1'
_symmetry_Int_Tables_number 1
_symmetry_space_group_name_Hall 'P 1'
loop_
_atom_site_label
_atom_site_fract_x
_atom_site_fract_y
_atom_site_fract_z
Te1 0.250 0.016 0.516
Te2 0.750 0.984 0.484
Ni1 0.250 0.734 0.234
Ni2 0.750 0.266 0.766
Se1 0.550 0.539 0.243
Se2 0.450 0.461 0.757
Se3 0.050 0.257 0.961
Se4 0.950 0.743 0.039



Entry 15:
# NiTeSe2 (PBE-GGA, optimized geometry)
# **Formation energy without anion corrections**: 64 meV/atom
# **D(E_F)**: 5.32 states/eV/cell
data_NiTeSe2
_chemical_formula_sum 'Ni2 Te2 Se4'
_cell_length_a 12.656
_cell_length_b 12.656
_cell_length_c 4.465
_cell_angle_alpha 90.00
_cell_angle_beta 90.00
_cell_angle_gamma 163.83
_symmetry_space_group_name_H-M 'P 1'
_symmetry_Int_Tables_number 1
_symmetry_space_group_name_Hall 'P 1'
loop_
_atom_site_label
_atom_site_fract_x
_atom_site_fract_y
_atom_site_fract_z
Se1 0.850 0.150 0.750
Se2 0.036 0.964 0.750
Se3 0.964 0.036 0.250
Se4 0.150 0.850 0.250
Te1 0.676 0.324 0.750
Te2 0.324 0.676 0.250
Ni1 0.057 0.943 0.250
Ni2 0.943 0.057 0.750



Entry 16:
# NiTeSe2 (PBE-GGA, optimized geometry)
# **Formation energy without anion corrections**: -125 meV/atom
# **D(E_F)**: 3.53 states/eV/cell
data_NiTeSe2
_chemical_formula_sum 'Ni2 Te2 Se4'
_cell_length_a 6.114
_cell_length_b 5.207
_cell_length_c 6.436
_cell_angle_alpha 94.23
_cell_angle_beta 62.08
_cell_angle_gamma 91.66
_symmetry_space_group_name_H-M 'P 1'
_symmetry_Int_Tables_number 1
_symmetry_space_group_name_Hall 'P 1'
loop_
_atom_site_label
_atom_site_fract_x
_atom_site_fract_y
_atom_site_fract_z
Se1 0.697 0.411 0.589
Se2 0.600 0.895 0.295
Se3 0.938 0.775 0.602
Se4 0.252 0.770 0.994
Te1 0.336 0.298 0.321
Te2 0.996 0.363 0.973
Ni1 0.618 0.588 0.989
Ni2 0.965 0.074 0.306



Entry 17:
# Ni4Te3Se (PBE-GGA, optimized geometry)
# **Formation energy without anion corrections**: -155 meV/atom
# **D(E_F)**: 12.76 states/eV/cell
data_Ni4Te3Se
_chemical_formula_sum 'Ni8 Te6 Se2'
_cell_length_a 6.857
_cell_length_b 6.830
_cell_length_c 7.700
_cell_angle_alpha 90.00
_cell_angle_beta 90.00
_cell_angle_gamma 90.00
_symmetry_space_group_name_H-M 'P 1'
_symmetry_Int_Tables_number 1
_symmetry_space_group_name_Hall 'P 1'
loop_
_atom_site_label
_atom_site_fract_x
_atom_site_fract_y
_atom_site_fract_z
Ni1 0.960 0.323 0.768
Ni2 0.460 0.677 0.268
Ni3 0.242 0.836 0.500
Ni4 0.960 0.851 0.000
Ni5 0.460 0.677 0.732
Ni6 0.742 0.164 0.000
Ni7 0.960 0.323 0.232
Ni8 0.460 0.149 0.500
Se1 0.589 0.842 0.500
Se2 0.089 0.158 0.000
Te1 0.100 0.659 0.756
Te2 0.600 0.341 0.744
Te3 0.103 0.180 0.500
Te4 0.100 0.659 0.244
Te5 0.600 0.341 0.256
Te6 0.603 0.820 0.000



Entry 18:
# NiTeSe2 (PBE-GGA, optimized geometry)
# **Formation energy without anion corrections**: -79 meV/atom
# **D(E_F)**: 2.97 states/eV/cell
data_NiTeSe2
_chemical_formula_sum 'Ni1 Te1 Se2'
_cell_length_a 6.006
_cell_length_b 6.310
_cell_length_c 3.550
_cell_angle_alpha 89.89
_cell_angle_beta 107.30
_cell_angle_gamma 124.14
_symmetry_space_group_name_H-M 'P 1'
_symmetry_Int_Tables_number 1
_symmetry_space_group_name_Hall 'P 1'
loop_
_atom_site_label
_atom_site_fract_x
_atom_site_fract_y
_atom_site_fract_z
Ni1 0.106 0.465 0.095
Se1 0.196 0.750 0.639
Se2 0.855 0.181 0.469
Te1 0.667 0.672 0.377



Entry 19:
# Ni2TeSe (PBE-GGA, optimized geometry)
# **Formation energy without anion corrections**: 207 meV/atom
# **D(E_F)**: 2.48 states/eV/cell
data_Ni2TeSe
_chemical_formula_sum 'Ni2 Te1 Se1'
_cell_length_a 4.519
_cell_length_b 4.519
_cell_length_c 4.519
_cell_angle_alpha 60.00
_cell_angle_beta 60.00
_cell_angle_gamma 60.00
_symmetry_space_group_name_H-M 'P 1'
_symmetry_Int_Tables_number 1
_symmetry_space_group_name_Hall 'P 1'
loop_
_atom_site_label
_atom_site_fract_x
_atom_site_fract_y
_atom_site_fract_z
Ni1 0.250 0.250 0.250
Ni2 0.750 0.750 0.750
Se1 0.000 0.000 0.000
Te1 0.500 0.500 0.500



Entry 20:
# NiTeSe2 (PBE-GGA, optimized geometry)
# **Formation energy without anion corrections**: -111 meV/atom
# **D(E_F)**: 0.00 states/eV/cell
data_NiTeSe2
_chemical_formula_sum 'Ni2 Te2 Se4'
_cell_length_a 5.414
_cell_length_b 6.252
_cell_length_c 6.023
_cell_angle_alpha 89.95
_cell_angle_beta 89.97
_cell_angle_gamma 77.09
_symmetry_space_group_name_H-M 'P 1'
_symmetry_Int_Tables_number 1
_symmetry_space_group_name_Hall 'P 1'
loop_
_atom_site_label
_atom_site_fract_x
_atom_site_fract_y
_atom_site_fract_z
Te1 0.763 0.879 0.430
Te2 0.693 0.397 0.930
Ni1 0.481 0.513 0.571
Ni2 0.976 0.764 0.071
Se1 0.587 0.995 0.977
Se2 0.156 0.770 0.723
Se3 0.301 0.506 0.223
Se4 0.870 0.281 0.477